Record 1
# DyPu2Cu9 (PBE, relaxed)
# ΔH_f (0 K): -0.1049 eV/atom
# volume: 15.87 Å³ per atom
# Fermi-level density of states: 1.623 states/eV/atom
data_DyPu2Cu9
_chemical_formula_sum 'Dy3 Pu6 Cu27'
_cell_length_a 5.1217
_cell_length_b 5.1217
_cell_length_c 25.1503
_cell_angle_alpha 90.00
_cell_angle_beta 90.00
_cell_angle_gamma 120.00
_space_group_name_H-M_alt 'R -3 m'
_space_group_IT_number 166
_space_group_name_Hall '-R 3 2"'
loop_
_atom_site_label
_atom_site_type_symbol
_atom_site_fract_x
_atom_site_fract_y
_atom_site_fract_z
_atom_site_occupancy
Dy1 Dy 0.0000 0.0000 0.0000 1
Pu1 Pu 0.0000 0.0000 0.1471 1
Cu1 Cu 0.0000 0.0000 0.3318 1
Cu2 Cu 0.0000 0.0000 0.5000 1
Cu3 Cu 0.0034 0.5017 0.0806 1

Record 2
# Dy2PuCu (PBE, relaxed)
# E above lowest polymorph: 0 meV per atom
# ΔH_f (0 K): -0.0169 eV/atom
# volume: 25.26 Å³ per atom
# Fermi-level density of states: 2.333 states/eV/atom
data_Dy2PuCu
_chemical_formula_sum 'Dy2 Pu1 Cu1'
_cell_length_a 3.451
_cell_length_b 3.451
_cell_length_c 8.484
_cell_angle_alpha 90.00
_cell_angle_beta 90.00
_cell_angle_gamma 90.00
_space_group_name_H-M_alt 'P 4/m m m'
_space_group_IT_number 123
_space_group_name_Hall '-P 4 2'
loop_
_atom_site_label
_atom_site_type_symbol
_atom_site_fract_x
_atom_site_fract_y
_atom_site_fract_z
_atom_site_occupancy
Dy1 Dy 0.000 0.000 0.203 1
Pu1 Pu 0.500 0.500 0.500 1
Cu1 Cu 0.500 0.500 0.000 1

Record 3
# DyPu3Cu8 (PBE, relaxed)
# ΔH_f (0 K): -0.0784 eV/atom
# volume: 16.85 Å³ per atom
# Fermi-level density of states: 2.213 states/eV/atom
data_DyPu3Cu8
_chemical_formula_sum 'Dy1 Pu3 Cu8'
_cell_length_a 5.2379
_cell_length_b 5.2379
_cell_length_c 8.5119
_cell_angle_alpha 90.00
_cell_angle_beta 90.00
_cell_angle_gamma 120.00
_space_group_name_H-M_alt 'P 3 m 1'
_space_group_IT_number 156
_space_group_name_Hall 'P 3 -2"'
loop_
_atom_site_label
_atom_site_type_symbol
_atom_site_fract_x
_atom_site_fract_y
_atom_site_fract_z
_atom_site_occupancy
Dy1 Dy 0.0000 0.0000 0.0000 1
Pu1 Pu 0.0000 0.0000 0.3912 1
Pu2 Pu 0.6667 0.3333 0.4940 1
Pu3 Pu 0.6667 0.3333 0.8751 1
Cu1 Cu 0.0024 0.5012 0.1877 1
Cu2 Cu 0.1684 0.3368 0.6934 1
Cu3 Cu 0.3333 0.6667 0.4415 1
Cu4 Cu 0.3333 0.6667 0.9412 1

Record 4
# DyPuCu (PBE, relaxed)
# E above lowest polymorph: 34 meV per atom
# ΔH_f (0 K): 0.0694 eV/atom
# volume: 24.32 Å³ per atom
# Fermi-level density of states: 3.096 states/eV/atom
data_DyPuCu
_chemical_formula_sum 'Dy4 Pu4 Cu4'
_cell_length_a 6.059
_cell_length_b 6.753
_cell_length_c 7.155
_cell_angle_alpha 90.00
_cell_angle_beta 94.66
_cell_angle_gamma 90.00
_space_group_name_H-M_alt 'P 1 21/c 1'
_space_group_IT_number 14
_space_group_name_Hall '-P 2ybc'
loop_
_atom_site_label
_atom_site_type_symbol
_atom_site_fract_x
_atom_site_fract_y
_atom_site_fract_z
_atom_site_occupancy
Dy1 Dy 0.134 0.156 0.328 1
Pu1 Pu 0.323 0.656 0.496 1
Cu1 Cu 0.401 0.040 0.652 1

Record 5
# DyPuCu4 (PBE, relaxed)
# ΔH_f (0 K): -0.0673 eV/atom
# volume: 17.04 Å³ per atom
# Fermi-level density of states: 1.832 states/eV/atom
data_DyPuCu4
_chemical_formula_sum 'Dy4 Pu4 Cu16'
_cell_length_a 7.422
_cell_length_b 7.422
_cell_length_c 7.422
_cell_angle_alpha 90.00
_cell_angle_beta 90.00
_cell_angle_gamma 90.00
_space_group_name_H-M_alt 'F -4 3 m'
_space_group_IT_number 216
_space_group_name_Hall 'F -4 2 3'
loop_
_atom_site_label
_atom_site_type_symbol
_atom_site_fract_x
_atom_site_fract_y
_atom_site_fract_z
_atom_site_occupancy
Dy1 Dy 0.000 0.000 0.000 1
Pu1 Pu 0.250 0.250 0.250 1
Cu1 Cu 0.125 0.125 0.625 1

Record 6
# DyPuCu2 (PBE, relaxed)
# E above lowest polymorph: 0 meV per atom
# ΔH_f (0 K): -0.0640 eV/atom
# volume: 20.77 Å³ per atom
# Fermi-level density of states: 2.118 states/eV/atom
data_DyPuCu2
_chemical_formula_sum 'Dy1 Pu1 Cu2'
_cell_length_a 3.422
_cell_length_b 3.422
_cell_length_c 7.095
_cell_angle_alpha 90.00
_cell_angle_beta 90.00
_cell_angle_gamma 90.00
_space_group_name_H-M_alt 'P 4/m m m'
_space_group_IT_number 123
_space_group_name_Hall '-P 4 2'
loop_
_atom_site_label
_atom_site_type_symbol
_atom_site_fract_x
_atom_site_fract_y
_atom_site_fract_z
_atom_site_occupancy
Dy1 Dy 0.000 0.000 0.000 1
Pu1 Pu 0.000 0.000 0.500 1
Cu1 Cu 0.500 0.500 0.237 1

Record 7
# DyPuCu2 (PBE, relaxed)
# E above lowest polymorph: 257 meV per atom
# ΔH_f (0 K): 0.1930 eV/atom
# volume: 23.11 Å³ per atom
# Fermi-level density of states: 2.853 states/eV/atom
data_DyPuCu2
_chemical_formula_sum 'Dy3 Pu3 Cu6'
_cell_length_a 3.7140
_cell_length_b 3.7140
_cell_length_c 23.2114
_cell_angle_alpha 90.00
_cell_angle_beta 90.00
_cell_angle_gamma 120.00
_space_group_name_H-M_alt 'R -3 m'
_space_group_IT_number 166
_space_group_name_Hall '-R 3 2"'
loop_
_atom_site_label
_atom_site_type_symbol
_atom_site_fract_x
_atom_site_fract_y
_atom_site_fract_z
_atom_site_occupancy
Dy1 Dy 0.0000 0.0000 0.0000 1
Pu1 Pu 0.0000 0.0000 0.5000 1
Cu1 Cu 0.0000 0.0000 0.2519 1

Record 8
# DyPuCu2 (PBE, relaxed)
# E above lowest polymorph: 43 meV per atom
# ΔH_f (0 K): -0.0207 eV/atom
# volume: 21.03 Å³ per atom
# Fermi-level density of states: 2.628 states/eV/atom
data_DyPuCu2
_chemical_formula_sum 'Dy4 Pu4 Cu8'
_cell_length_a 6.956
_cell_length_b 6.956
_cell_length_c 6.956
_cell_angle_alpha 90.00
_cell_angle_beta 90.00
_cell_angle_gamma 90.00
_space_group_name_H-M_alt 'F m -3 m'
_space_group_IT_number 225
_space_group_name_Hall '-F 4 2 3'
loop_
_atom_site_label
_atom_site_type_symbol
_atom_site_fract_x
_atom_site_fract_y
_atom_site_fract_z
_atom_site_occupancy
Dy1 Dy 0.000 0.000 0.000 1
Pu1 Pu 0.000 0.000 0.500 1
Cu1 Cu 0.250 0.250 0.250 1

Repeat the third record exactly.
# DyPu3Cu8 (PBE, relaxed)
# ΔH_f (0 K): -0.0784 eV/atom
# volume: 16.85 Å³ per atom
# Fermi-level density of states: 2.213 states/eV/atom
data_DyPu3Cu8
_chemical_formula_sum 'Dy1 Pu3 Cu8'
_cell_length_a 5.2379
_cell_length_b 5.2379
_cell_length_c 8.5119
_cell_angle_alpha 90.00
_cell_angle_beta 90.00
_cell_angle_gamma 120.00
_space_group_name_H-M_alt 'P 3 m 1'
_space_group_IT_number 156
_space_group_name_Hall 'P 3 -2"'
loop_
_atom_site_label
_atom_site_type_symbol
_atom_site_fract_x
_atom_site_fract_y
_atom_site_fract_z
_atom_site_occupancy
Dy1 Dy 0.0000 0.0000 0.0000 1
Pu1 Pu 0.0000 0.0000 0.3912 1
Pu2 Pu 0.6667 0.3333 0.4940 1
Pu3 Pu 0.6667 0.3333 0.8751 1
Cu1 Cu 0.0024 0.5012 0.1877 1
Cu2 Cu 0.1684 0.3368 0.6934 1
Cu3 Cu 0.3333 0.6667 0.4415 1
Cu4 Cu 0.3333 0.6667 0.9412 1

- Which of these has the highest volume?
  Dy2PuCu

- The highest Fermi-level density of states belongs to which entry?
  DyPuCu